# 1
Entry from the Alexandria database: Rb2NiPd after structural relaxation (GGA-PBE).

Cell lengths 5.6373, 5.6373, 5.6373 Å; angles 60.00, 60.00, 60.00 degrees
Closest atoms and distances in Å follow each position.
Atoms (fractional coordinates):
1 Ni 0.0000 0.0000 0.0000  8 Rb 3.45
2 Rb 0.2500 0.2500 0.2500  4 Ni 3.45, 4 Pd 3.45
3 Rb 0.7500 0.7500 0.7500  4 Ni 3.45, 4 Pd 3.45
4 Pd 0.5000 0.5000 0.5000  8 Rb 3.45

formation enthalpy at 0 K: 3.3 eV/f.u.
M_tot: 0.532 μB per formula unit

---

# 2
Entry from the Alexandria database: MgCuSO after structural relaxation (GGA-PBE).

Cell lengths 5.8616, 6.3279, 3.3849 Å; angles 74.51, 90.00, 98.89 degrees
Closest atoms and distances in Å follow each position.
Atoms (fractional coordinates):
1 O 0.2755 0.3410 0.3494  3 Mg 2.00, 1 Cu 2.03
2 O 0.7755 0.3410 0.8494  3 Mg 2.00, 1 Cu 2.03
3 Mg 0.5973 0.2718 0.3839  3 O 2.00
4 Mg 0.0973 0.2718 0.8839  3 O 2.00
5 S 0.0271 0.8492 0.0967  3 Cu 2.21
6 S 0.5271 0.8492 0.5965  3 Cu 2.21
7 Cu 0.8318 0.6779 0.6823  1 O 2.03, 3 S 2.21
8 Cu 0.3319 0.6779 0.1821  1 O 2.03, 3 S 2.21

formation energy without anion corrections: -4.9 eV per formula unit
M_tot: 0.000 μB per formula unit

---

# 3
Entry from the Alexandria database: Pu2AlGe6Os after structural relaxation (GGA-PBE).

Cell lengths 6.2026, 6.2026, 13.0732 Å; angles 76.28, 76.28, 60.00 degrees
Closest atoms and distances in Å follow each position.
Atoms (fractional coordinates):
1 Ge 0.1629 0.1629 0.1094  1 Os 2.47, 2 Ge 2.49, 1 Al 2.55
2 Ge 0.2980 0.7403 0.6638  1 Os 2.58, 1 Al 2.60, 2 Ge 2.74
3 Ge 0.7020 0.7020 0.3362  1 Os 2.58, 1 Al 2.60, 2 Ge 2.74
4 Ge 0.7020 0.2597 0.3362  1 Os 2.58, 1 Al 2.60, 2 Ge 2.74
5 Ge 0.4352 0.8371 0.8906  1 Os 2.47, 2 Ge 2.49, 1 Al 2.55
6 Ge 0.7403 0.2980 0.6638  1 Os 2.58, 1 Al 2.60, 2 Ge 2.74
7 Ge 0.8371 0.4352 0.8906  1 Os 2.47, 2 Ge 2.49, 1 Al 2.55
8 Ge 0.2980 0.2980 0.6638  1 Os 2.58, 1 Al 2.60, 2 Ge 2.74
9 Ge 0.5648 0.1629 0.1094  1 Os 2.47, 2 Ge 2.49, 1 Al 2.55
10 Ge 0.2597 0.7020 0.3362  1 Os 2.58, 1 Al 2.60, 2 Ge 2.74
11 Ge 0.1629 0.5648 0.1094  1 Os 2.47, 2 Ge 2.49, 1 Al 2.55
12 Ge 0.8371 0.8371 0.8906  1 Os 2.47, 2 Ge 2.49, 1 Al 2.55
13 Al 0.5000 0.5000 0.5000  6 Ge 2.60
14 Al 0.0000 0.0000 0.0000  6 Ge 2.55, 2 Os 2.60
15 Pu 0.6287 0.6287 0.1138  12 Ge 3.12-3.21
16 Pu 0.3713 0.3713 0.8862  12 Ge 3.12-3.21
17 Pu 0.7773 0.7773 0.6682  9 Ge 3.11-3.14
18 Pu 0.2227 0.2227 0.3318  9 Ge 3.11-3.14
19 Os 0.0689 0.0689 0.7933  6 Ge 2.47-2.58, 1 Al 2.60
20 Os 0.9311 0.9311 0.2067  6 Ge 2.47-2.58, 1 Al 2.60

formation enthalpy at 0 K: -0.9 eV/f.u.
M_tot: 10.440 μB per formula unit

---

# 4
Entry from the Alexandria database: Li2MoW after structural relaxation (GGA-PBE).

Cell lengths 2.6838, 2.6838, 9.5735 Å; angles 90.00, 90.00, 109.59 degrees
Closest atoms and distances in Å follow each position.
Atoms (fractional coordinates):
1 Li 0.0000 0.0000 0.9897  4 Li 2.68, 2 W 2.82
2 Li 0.5000 0.5000 0.2597  4 Li 2.68, 2 Mo 2.83
3 Mo 0.0000 0.0000 0.5070  4 Mo 2.68, 2 W 2.74, 2 Li 2.83
4 W 0.5000 0.5000 0.7436  4 W 2.68, 2 Mo 2.74, 2 Li 2.82

formation enthalpy at 0 K: 0.9 eV/f.u.
M_tot: 0.000 μB per formula unit

---

# 5
Entry from the Alexandria database: Be2Re2Ir after structural relaxation (GGA-PBE).

Cell lengths 5.6418, 5.6418, 3.7411 Å; angles 90.00, 90.00, 90.00 degrees
Closest atoms and distances in Å follow each position.
Atoms (fractional coordinates):
1 Re 0.6677 0.8323 0.5000  6 Be 2.48-2.52, 1 Re 2.68
2 Re 0.3323 0.1677 0.5000  6 Be 2.48-2.52, 1 Re 2.68
3 Re 0.1677 0.6677 0.5000  6 Be 2.48-2.52, 1 Re 2.68
4 Re 0.8323 0.3323 0.5000  6 Be 2.48-2.52, 1 Re 2.68
5 Ir 0.5000 0.5000 0.0000  4 Be 2.22
6 Ir 0.0000 0.0000 0.0000  4 Be 2.22
7 Be 0.3717 0.8717 0.0000  1 Be 2.05, 2 Ir 2.22
8 Be 0.6283 0.1283 0.0000  1 Be 2.05, 2 Ir 2.22
9 Be 0.8717 0.6283 0.0000  1 Be 2.05, 2 Ir 2.22
10 Be 0.1283 0.3717 0.0000  1 Be 2.05, 2 Ir 2.22

formation enthalpy at 0 K: -0.9 eV/f.u.
M_tot: 0.000 μB per formula unit

---

# 6
Entry from the Alexandria database: Pm12PrNi7 after structural relaxation (GGA-PBE).

Cell lengths 8.8976, 8.8976, 8.8976 Å; angles 110.37, 110.37, 110.37 degrees
Closest atoms and distances in Å follow each position.
Atoms (fractional coordinates):
1 Pr 0.0000 0.0000 0.0000  6 Ni 3.08
2 Pm 0.1934 0.0536 0.7024  3 Ni 2.78-2.91
3 Pm 0.0536 0.7024 0.1934  3 Ni 2.78-2.91
4 Pm 0.5355 0.1716 0.4226  3 Ni 2.78-2.92
5 Pm 0.8066 0.9464 0.2976  3 Ni 2.78-2.91
6 Pm 0.4645 0.8284 0.5774  3 Ni 2.78-2.92
7 Pm 0.9464 0.2976 0.8066  3 Ni 2.78-2.91
8 Pm 0.5774 0.4645 0.8284  3 Ni 2.78-2.92
9 Pm 0.8284 0.5774 0.4645  3 Ni 2.78-2.92
10 Pm 0.2976 0.8066 0.9464  3 Ni 2.78-2.91
11 Pm 0.7024 0.1934 0.0536  3 Ni 2.78-2.91
12 Pm 0.1716 0.4226 0.5355  3 Ni 2.78-2.92
13 Pm 0.4226 0.5355 0.1716  3 Ni 2.78-2.92
14 Ni 0.5000 0.5000 0.5000  6 Pm 2.92, 6 Ni 3.20
15 Ni 0.7975 0.8956 0.5859  5 Pm 2.78-2.91, 1 Pr 3.08
16 Ni 0.1044 0.4141 0.2025  5 Pm 2.78-2.91, 1 Pr 3.08
17 Ni 0.8956 0.5859 0.7975  5 Pm 2.78-2.91, 1 Pr 3.08
18 Ni 0.2025 0.1044 0.4141  5 Pm 2.78-2.91, 1 Pr 3.08
19 Ni 0.5859 0.7975 0.8956  5 Pm 2.78-2.91, 1 Pr 3.08
20 Ni 0.4141 0.2025 0.1044  5 Pm 2.78-2.91, 1 Pr 3.08

formation enthalpy at 0 K: -2.6 eV/f.u.
M_tot: 0.000 μB per formula unit

---

# 7
Entry from the Alexandria database: TmZr4In5 after structural relaxation (GGA-PBE).

Cell lengths 3.1992, 3.1992, 22.2170 Å; angles 90.00, 90.00, 90.00 degrees
Closest atoms and distances in Å follow each position.
Atoms (fractional coordinates):
1 Zr 0.0000 0.0000 0.4015  8 In 3.14-3.15, 4 Zr 3.20
2 Zr 0.0000 0.0000 0.2052  8 In 3.14-3.16, 4 Zr 3.20
3 Zr 0.0000 0.0000 0.5985  8 In 3.14-3.15, 4 Zr 3.20
4 Zr 0.0000 0.0000 0.7948  8 In 3.14-3.16, 4 Zr 3.20
5 In 0.5000 0.5000 0.8942  4 Zr 3.16, 4 In 3.20, 4 Tm 3.26
6 In 0.5000 0.5000 0.6967  8 Zr 3.14, 4 In 3.20
7 In 0.5000 0.5000 0.3033  8 Zr 3.14, 4 In 3.20
8 In 0.5000 0.5000 0.5000  8 Zr 3.15, 4 In 3.20
9 In 0.5000 0.5000 0.1058  4 Zr 3.16, 4 In 3.20, 4 Tm 3.26
10 Tm 0.0000 0.0000 0.0000  4 Tm 3.20, 8 In 3.26

formation enthalpy at 0 K: -3.2 eV/f.u.
M_tot: 0.375 μB per formula unit

---

# 8
Entry from the Alexandria database: YEr2Rh9 after structural relaxation (GGA-PBE).

Cell lengths 5.2476, 5.2476, 9.2612 Å; angles 73.54, 73.54, 60.00 degrees
Closest atoms and distances in Å follow each position.
Atoms (fractional coordinates):
1 Rh 0.9177 0.4166 0.2491  7 Rh 2.62-2.67
2 Rh 0.5000 0.5000 0.5000  6 Rh 2.67
3 Rh 0.6669 0.6669 0.9993  6 Rh 2.65-2.66
4 Rh 0.4166 0.4166 0.2491  7 Rh 2.62-2.67
5 Rh 0.4166 0.9177 0.2491  7 Rh 2.62-2.67
6 Rh 0.3331 0.3331 0.0007  6 Rh 2.65-2.66
7 Rh 0.0823 0.5834 0.7509  7 Rh 2.62-2.67
8 Rh 0.5834 0.0823 0.7509  7 Rh 2.62-2.67
9 Rh 0.5834 0.5834 0.7509  7 Rh 2.62-2.67
10 Y 0.0000 0.0000 0.0000  6 Rh 3.03
11 Er 0.1391 0.1391 0.5827  12 Rh 3.01-3.29, 3 Er 3.36
12 Er 0.8609 0.8609 0.4173  12 Rh 3.01-3.29, 3 Er 3.36

formation enthalpy at 0 K: -6.9 eV/f.u.
M_tot: 0.000 μB per formula unit

---

# 9
Entry from the Alexandria database: ErAs2Pd7 after structural relaxation (GGA-PBE).

Cell lengths 4.4639, 7.1067, 7.1067 Å; angles 117.07, 90.00, 90.00 degrees
Closest atoms and distances in Å follow each position.
Atoms (fractional coordinates):
1 Er 0.0000 0.0000 0.0000  10 Pd 2.78-3.01
2 Pd 0.0000 0.7710 0.2290  2 As 2.41
3 Pd 0.0000 0.2290 0.7710  2 As 2.41
4 Pd 0.5000 0.9369 0.6933  2 As 2.50-2.61, 2 Pd 2.74-2.76
5 Pd 0.5000 0.5000 0.5000  2 As 2.37
6 Pd 0.5000 0.3067 0.0631  2 As 2.50-2.61, 2 Pd 2.74-2.76
7 Pd 0.5000 0.0631 0.3067  2 As 2.50-2.61, 2 Pd 2.74-2.76
8 Pd 0.5000 0.6933 0.9369  2 As 2.50-2.61, 2 Pd 2.74-2.76
9 As 0.5000 0.3046 0.6954  7 Pd 2.37-2.61
10 As 0.5000 0.6954 0.3046  7 Pd 2.37-2.61

formation enthalpy at 0 K: -3.7 eV/f.u.
M_tot: 0.000 μB per formula unit

---

# 10
Entry from the Alexandria database: AsOsCl2 after structural relaxation (GGA-PBE).

Cell lengths 3.2191, 3.2243, 8.7547 Å; angles 90.00, 90.00, 90.00 degrees
Closest atoms and distances in Å follow each position.
Atoms (fractional coordinates):
1 Os 0.0000 0.0000 0.6819  1 Cl 2.27, 4 As 2.50
2 Cl 0.5000 0.5000 0.3137  1 As 2.18
3 Cl 0.0000 0.0000 0.9412  1 Os 2.27
4 As 0.5000 0.5000 0.5632  1 Cl 2.18

formation energy without anion corrections: 0.4 eV per formula unit
M_tot: 0.000 μB per formula unit

---

# 11
Entry from the Alexandria database: Pr3Nd2Dy6 after structural relaxation (GGA-PBE).

Cell lengths 6.2164, 6.2285, 11.7493 Å; angles 84.90, 79.73, 60.06 degrees
Closest atoms and distances in Å follow each position.
Atoms (fractional coordinates):
1 Dy 0.4171 0.6670 0.7484  2 Nd 3.54, 3 Pr 3.57-3.59, 6 Dy 3.59-3.60
2 Dy 0.0842 0.3330 0.7484  2 Nd 3.54, 3 Pr 3.57-3.59, 6 Dy 3.59-3.60
3 Dy 0.2500 0.0000 0.2512  2 Nd 3.54, 3 Pr 3.55-3.57, 6 Dy 3.59-3.60
4 Dy 0.5829 0.3330 0.2516  2 Nd 3.54, 3 Pr 3.57-3.59, 6 Dy 3.59-3.60
5 Dy 0.7500 0.0000 0.7488  2 Nd 3.54, 3 Pr 3.55-3.57, 6 Dy 3.59-3.60
6 Dy 0.9158 0.6670 0.2516  2 Nd 3.54, 3 Pr 3.57-3.59, 6 Dy 3.59-3.60
7 Nd 0.8336 0.3329 0.5000  6 Dy 3.54, 3 Nd 3.59
8 Nd 0.1664 0.6671 0.5000  6 Dy 3.54, 3 Nd 3.59
9 Pr 0.6642 0.6716 0.0000  6 Pr 3.54-3.63, 6 Dy 3.55-3.59
10 Pr 0.0000 0.0000 0.0000  6 Dy 3.57, 6 Pr 3.58-3.63
11 Pr 0.3358 0.3284 0.0000  6 Pr 3.54-3.63, 6 Dy 3.55-3.59

formation enthalpy at 0 K: 2.1 eV/f.u.
M_tot: 0.001 μB per formula unit

---

# 12
Entry from the Alexandria database: Na2GeSb after structural relaxation (GGA-PBE).

Cell lengths 5.1562, 5.1562, 5.1562 Å; angles 60.00, 60.00, 60.00 degrees
Closest atoms and distances in Å follow each position.
Atoms (fractional coordinates):
1 Sb 0.5000 0.5000 0.5000  8 Na 3.16
2 Na 0.7500 0.7500 0.7500  4 Ge 3.16, 4 Sb 3.16
3 Na 0.2500 0.2500 0.2500  4 Ge 3.16, 4 Sb 3.16
4 Ge 0.0000 0.0000 0.0000  8 Na 3.16

formation energy without anion corrections: -0.2 eV per formula unit
M_tot: 0.000 μB per formula unit

---

# 13
Entry from the Alexandria database: Ba8As3I4O after structural relaxation (GGA-PBE).

Cell lengths 9.3549, 9.9746, 9.3913 Å; angles 118.25, 119.87, 90.00 degrees
Closest atoms and distances in Å follow each position.
Atoms (fractional coordinates):
1 Ba 0.7705 0.2984 0.5411  1 O 3.13, 2 As 3.22
2 Ba 0.2295 0.7016 0.4589  1 O 3.13, 2 As 3.22
3 Ba 0.7813 0.3078 0.0269  1 O 2.98, 2 As 3.23-3.24
4 Ba 0.7544 0.6922 0.9731  1 O 2.98, 2 As 3.23-3.24
5 Ba 0.7369 0.7111 0.4738  3 As 3.23
6 Ba 0.2187 0.6922 0.9731  1 O 2.98, 2 As 3.23-3.24
7 Ba 0.2631 0.2889 0.5262  3 As 3.23
8 Ba 0.2456 0.3078 0.0269  1 O 2.98, 2 As 3.23-3.24
9 As 0.0000 0.5000 0.5000  6 Ba 3.22-3.24
10 As 0.5000 0.5000 0.5000  6 Ba 3.22-3.24
11 As 0.5000 0.5000 0.0000  6 Ba 3.23
12 O 0.0000 0.5000 0.0000  6 Ba 2.98-3.13
13 I 0.5000 0.0000 0.5000  6 Ba 3.63-3.67
14 I 0.0000 0.0000 0.0000  6 Ba 3.63-3.67
15 I 0.0000 0.0000 0.5000  6 Ba 3.63-3.67
16 I 0.5000 0.0000 0.0000  6 Ba 3.74-3.88

formation energy without anion corrections: -24.5 eV per formula unit
M_tot: 0.000 μB per formula unit

---

# 14
Entry from the Alexandria database: AcNdAu2O8 after structural relaxation (GGA-PBE).

Cell lengths 5.7421, 5.7421, 6.7415 Å; angles 115.21, 115.21, 90.00 degrees
Closest atoms and distances in Å follow each position.
Atoms (fractional coordinates):
1 O 0.9631 0.8871 0.5796  1 Au 2.00
2 O 0.6564 0.8527 0.0678  1 Au 1.99
3 O 0.1129 0.3835 0.4204  1 Au 2.00
4 O 0.1473 0.5886 0.9322  1 Au 1.99
5 O 0.3075 0.0369 0.4204  1 Au 2.00
6 O 0.6165 0.6925 0.5796  1 Au 2.00
7 O 0.7849 0.3436 0.9322  1 Au 1.99
8 O 0.4114 0.2151 0.0678  1 Au 1.99
9 Ac 0.7500 0.2500 0.5000  8 O 2.55-2.64
10 Au 0.5000 0.5000 0.0000  4 O 1.99
11 Au 0.2500 0.7500 0.5000  4 O 2.00
12 Nd 0.0000 0.0000 0.0000  8 O 2.43-2.53

formation energy without anion corrections: -13.9 eV per formula unit
M_tot: 4.082 μB per formula unit

---

# 15
Entry from the Alexandria database: Mg2InN2 after structural relaxation (GGA-PBE).

Cell lengths 6.3643, 6.3643, 3.1478 Å; angles 90.00, 90.00, 90.00 degrees
Closest atoms and distances in Å follow each position.
Atoms (fractional coordinates):
1 N 0.1742 0.3258 0.0000  2 Mg 2.24, 2 In 2.35
2 N 0.3258 0.8258 0.0000  2 Mg 2.24, 2 In 2.35
3 N 0.6742 0.1742 0.0000  2 Mg 2.24, 2 In 2.35
4 N 0.8258 0.6742 0.0000  2 Mg 2.24, 2 In 2.35
5 In 0.0000 0.0000 0.0000  4 N 2.35
6 In 0.5000 0.5000 0.0000  4 N 2.35
7 Mg 0.3516 0.1484 0.5000  2 N 2.24
8 Mg 0.1484 0.6484 0.5000  2 N 2.24
9 Mg 0.6484 0.8516 0.5000  2 N 2.24
10 Mg 0.8516 0.3516 0.5000  2 N 2.24

formation energy without anion corrections: 0.5 eV per formula unit
M_tot: 0.000 μB per formula unit

---

# 16
Entry from the Alexandria database: Tl2Ir2Se after structural relaxation (GGA-PBE).

Cell lengths 8.8595, 8.8595, 8.8595 Å; angles 156.28, 156.28, 33.80 degrees
Closest atoms and distances in Å follow each position.
Atoms (fractional coordinates):
1 Tl 0.3939 0.3939 0.0000  4 Ir 3.04, 4 Se 3.14
2 Tl 0.6061 0.6061 0.0000  4 Ir 3.04, 4 Se 3.14
3 Se 0.0000 0.0000 0.0000  8 Tl 3.14
4 Ir 0.2500 0.7500 0.5000  4 Ir 2.58
5 Ir 0.7500 0.2500 0.5000  4 Ir 2.58

formation energy without anion corrections: 2.3 eV per formula unit
M_tot: 0.000 μB per formula unit

---

| no. | raw total energy (eV per atom) |
| --- | --- |
| 1 | -2.400 |
| 2 | -4.925 |
| 3 | -7.223 |
| 4 | -6.667 |
| 5 | -8.421 |
| 6 | -5.241 |
| 7 | -5.560 |
| 8 | -7.390 |
| 9 | -5.388 |
| 10 | -4.791 |
| 11 | -4.494 |
| 12 | -2.896 |
| 13 | -4.063 |
| 14 | -5.747 |
| 15 | -4.418 |
| 16 | -4.733 |